No. 1
VASP calculation (GGA-PBE) on AsPb6S2Br3 after structural relaxation.

Lattice parameters (Å, degrees): 7.336 7.336 7.673 98.24 98.24 112.65
Element x y z (fractional)
Pb (0.597, 0.931, 0.791)
Pb (0.069, 0.403, 0.209)
Pb (0.257, 0.257, 0.787)
Pb (0.403, 0.069, 0.209)
Pb (0.743, 0.743, 0.213)
Pb (0.931, 0.597, 0.791)
Br (0.500, 0.500, 0.500)
Br (0.165, 0.835, 0.500)
Br (0.835, 0.165, 0.500)
S (0.336, 0.664, 0.000)
S (0.664, 0.336, 0.000)
As (0.000, 0.000, 0.000)

Values from the calculation:
total moment: 0.0 μB per formula unit
space group: C2/m (12)
ΔE_f (raw): -0.45 eV per atom

=====

No. 2
VASP calculation (GGA-PBE) on AsPb6S3Br2 after structural relaxation.

Lattice parameters (Å, degrees): 7.518 7.518 7.828 99.36 99.36 120.84
Element x y z (fractional)
Pb (0.390, 0.091, 0.271)
Pb (0.610, 0.909, 0.729)
Pb (0.909, 0.610, 0.729)
Pb (0.220, 0.220, 0.736)
Pb (0.091, 0.390, 0.271)
Pb (0.780, 0.780, 0.264)
Br (0.328, 0.672, 0.000)
Br (0.672, 0.328, 0.000)
S (0.841, 0.159, 0.500)
S (0.500, 0.500, 0.500)
S (0.159, 0.841, 0.500)
As (0.000, 0.000, 0.000)

Values from the calculation:
total moment: 0.0 μB per formula unit
space group: C2/m (12)
ΔE_f (raw): -0.45 eV per atom

=====

No. 3
VASP calculation (GGA-PBE) on SbAsPb4Br2 after structural relaxation.

Lattice parameters (Å, degrees): 4.511 7.936 7.806 70.79 90.00 90.00
Element x y z (fractional)
Pb (0.000, 0.715, 0.772)
Pb (0.000, 0.285, 0.228)
Pb (0.500, 0.720, 0.249)
Pb (0.500, 0.280, 0.751)
Sb (0.000, 0.500, 0.500)
Br (0.500, 0.000, 0.500)
Br (0.000, 0.000, 0.000)
As (0.500, 0.500, 0.000)

Values from the calculation:
total moment: 0.0 μB per formula unit
space group: P2/m (10)
ΔE_f (raw): -0.37 eV per atom

=====

No. 4
VASP calculation (GGA-PBE) on Sb2AsPb6Br3 after structural relaxation.

Lattice parameters (Å, degrees): 7.865 7.865 7.936 99.54 99.54 120.02
Element x y z (fractional)
Sb (0.334, 0.666, 0.000)
Sb (0.666, 0.334, 0.000)
Br (0.826, 0.174, 0.500)
Br (0.500, 0.500, 0.500)
Br (0.174, 0.826, 0.500)
Pb (0.245, 0.245, 0.780)
Pb (0.073, 0.393, 0.220)
Pb (0.393, 0.073, 0.220)
Pb (0.927, 0.607, 0.780)
Pb (0.755, 0.755, 0.220)
Pb (0.607, 0.927, 0.780)
As (0.000, 0.000, 0.000)

Values from the calculation:
total moment: 0.0 μB per formula unit
space group: C2/m (12)
ΔE_f (raw): -0.36 eV per atom

=====

No. 5
VASP calculation (GGA-PBE) on SbAsPbBr2 after structural relaxation.

Lattice parameters (Å, degrees): 5.519 5.519 5.509 90.00 90.00 90.00
Element x y z (fractional)
Pb (0.500, 0.500, 0.500)
As (0.000, 0.000, 0.500)
Br (0.500, 0.000, 0.000)
Br (0.000, 0.500, 0.000)
Sb (0.000, 0.000, 0.000)

Values from the calculation:
total moment: 0.0 μB per formula unit
space group: P4/mmm (123)
ΔE_f (raw): 0.11 eV per atom

=====

No. 6
VASP calculation (GGA-PBE) on ScAsPbBr2 after structural relaxation.

Lattice parameters (Å, degrees): 5.259 5.259 5.613 90.00 90.00 90.00
Element x y z (fractional)
Pb (0.500, 0.500, 0.500)
As (0.000, 0.000, 0.500)
Sc (0.000, 0.000, 0.000)
Br (0.500, 0.000, 0.000)
Br (0.000, 0.500, 0.000)

Values from the calculation:
total moment: 0.0 μB per formula unit
space group: P4/mmm (123)
ΔE_f (raw): -0.65 eV per atom